(1)
{
  "formula": "ZnRePt2",
  "functional": "PBE",
  "state": "relaxed",
  "magmom_total_mub_per_fu": 0.015,
  "delta_e_f_ev_per_atom": 0.130,
  "vol_a3_per_atom": 15.29,
  "lattice": [[2.7515, 0.0000, 0.0000], [0.0000, 4.7516, 0.0000], [0.0000, 0.0000, 4.6769]],
  "species": ["Pt", "Pt", "Zn", "Re"],
  "fractional_positions": [[0.0000, 0.0000, 0.0000], [0.5000, 0.5000, 0.0000], [0.0000, 0.5000, 0.5000], [0.5000, 0.0000, 0.5000]]
}

***

(2)
{
  "formula": "InAu3Br",
  "functional": "PBE",
  "state": "relaxed",
  "magmom_total_mub_per_fu": 0.000,
  "vol_a3_per_atom": 29.17,
  "de_polymorph_mev_per_atom": 0.0,
  "lattice": [[-2.3399, 0.6940, -4.6639], [2.3387, -4.3503, -1.8207], [-4.0944, -2.8815, 1.6254]],
  "species": ["Au", "Au", "Au", "In", "Br"],
  "fractional_positions": [[0.0000, 0.5000, 0.0000], [0.5000, 0.0000, 0.0000], [0.0000, 0.0000, 0.5000], [0.0000, 0.0000, 0.0000], [0.5000, 0.5000, 0.5000]]
}

***

(3)
{
  "formula": "Pm2NdTe",
  "functional": "PBE",
  "state": "relaxed",
  "magmom_total_mub_per_fu": 0.000,
  "vol_a3_per_atom": 32.04,
  "de_polymorph_mev_per_atom": 0.0,
  "lattice": [[4.0731, 0.0000, 0.0000], [-2.0364, 6.1644, 0.0000], [0.0000, 0.0000, 10.2089]],
  "species": ["Pm", "Pm", "Pm", "Pm", "Nd", "Nd", "Te", "Te"],
  "fractional_positions": [[0.3640, 0.7281, 0.5360], [0.3640, 0.7281, 0.9640], [0.6360, 0.2719, 0.0360], [0.6360, 0.2719, 0.4640], [0.9418, 0.8834, 0.2500], [0.0582, 0.1166, 0.7500], [0.2314, 0.4629, 0.2500], [0.7686, 0.5371, 0.7500]]
}

***

(4)
{
  "formula": "EuCdGaGe",
  "functional": "PBE",
  "state": "relaxed",
  "magmom_total_mub_per_fu": 6.740,
  "delta_e_f_ev_per_atom": -0.259,
  "vol_a3_per_atom": 22.80,
  "lattice": [[5.0528, 0.0000, 0.0000], [2.5264, 4.3758, 0.0000], [2.5264, 1.4586, 4.1256]],
  "species": ["Ge", "Cd", "Eu", "Ga"],
  "fractional_positions": [[0.2500, 0.2500, 0.2500], [0.0000, 0.0000, 0.0000], [0.5000, 0.5000, 0.5000], [0.7500, 0.7500, 0.7500]]
}

***

- Which formula does entry 3 have?
  Pm2NdTe

***

- What is the formula in the second record?
  InAu3Br

***

- Which formula does entry 2 have?
  InAu3Br